LiCu4Ni: optimized geometry, PBE.

Computed properties:
E_tot, eV/atom: -3.939
Crystal system: monoclinic
ρ, kg/m³: 7291
Distance to the lowest polymorph of the same formula, kJ/mol of formula units: 50

a = 4.920 Å, b = 14.084 Å, c = 4.863 Å
α = 90.00°, β = 120.16°, γ = 90.00°
Space group C2/c (No. 15)
Unique sites:
Li  0.000  0.125  0.250 [4 per cell]
Cu  0.246  0.467  0.243 [8 per cell]
Cu  0.247  0.283  0.244 [8 per cell]
Ni  0.000  0.375  0.750 [4 per cell]

***

Li6Cu19Ni4: optimized geometry, PBE.

Computed properties:
E_tot, eV/atom: -3.714
Crystal system: cubic
ρ, kg/m³: 6491

a = 9.122 Å, b = 9.122 Å, c = 9.122 Å
α = 90.00°, β = 90.00°, γ = 90.00°
Space group I23 (No. 197)
Unique sites:
Li  0.000  0.352  0.500 [12 per cell]
Cu  0.000  0.000  0.000 [2 per cell]
Cu  0.000  0.000  0.271 [12 per cell]
Cu  0.069  0.259  0.268 [24 per cell]
Ni  0.174  0.174  0.826 [8 per cell]

***

LiCu4Ni: optimized geometry, PBE.

Computed properties:
E_tot, eV/atom: -3.927
Crystal system: cubic
ρ, kg/m³: 6927
Distance to the lowest polymorph of the same formula, kJ/mol of formula units: 57

a = 6.743 Å, b = 6.743 Å, c = 6.743 Å
α = 90.00°, β = 90.00°, γ = 90.00°
Space group F-43m (No. 216)
Unique sites:
Li  0.000  0.000  0.000 [4 per cell]
Cu  0.125  0.125  0.625 [16 per cell]
Ni  0.250  0.250  0.250 [4 per cell]

***

Li2Cu4Ni3: optimized geometry, PBE.

Computed properties:
E_tot, eV/atom: -4.128
Crystal system: monoclinic
ρ, kg/m³: 7109
Distance to the lowest polymorph of the same formula, kJ/mol of formula units: 37

a = 12.165 Å, b = 7.014 Å, c = 4.863 Å
α = 90.00°, β = 90.26°, γ = 90.00°
Space group C2/c (No. 15)
Unique sites:
Li  0.167  0.178  0.471 [8 per cell]
Cu  0.004  0.328  0.001 [8 per cell]
Cu  0.172  0.153  0.973 [8 per cell]
Ni  0.000  0.000  0.250 [4 per cell]
Ni  0.162  0.497  0.751 [8 per cell]

***

LiCu8Ni5: optimized geometry, PBE.

Computed properties:
E_tot, eV/atom: -4.349
Crystal system: tetragonal
ρ, kg/m³: 7767

a = 6.730 Å, b = 6.730 Å, c = 7.635 Å
α = 90.00°, β = 90.00°, γ = 90.00°
Space group I-4 (No. 82)
Unique sites:
Li  0.000  0.000  0.000 [2 per cell]
Cu  0.073  0.829  0.366 [8 per cell]
Cu  0.091  0.667  0.997 [8 per cell]
Ni  0.000  0.500  0.250 [2 per cell]
Ni  0.126  0.709  0.682 [8 per cell]

***

LiCuNi3: optimized geometry, PBE.

Computed properties:
E_tot, eV/atom: -3.781
Crystal system: cubic
ρ, kg/m³: 4965
Distance to the lowest polymorph of the same formula, kJ/mol of formula units: 419

a = 4.353 Å, b = 4.353 Å, c = 4.353 Å
α = 90.00°, β = 90.00°, γ = 90.00°
Space group Pm-3m (No. 221)
Unique sites:
Li  0.000  0.000  0.000 [1 per cell]
Cu  0.500  0.500  0.500 [1 per cell]
Ni  0.000  0.500  0.500 [3 per cell]

***

LiCuNi3: optimized geometry, PBE.

Computed properties:
E_tot, eV/atom: -3.876
Crystal system: cubic
ρ, kg/m³: 6962
Distance to the lowest polymorph of the same formula, kJ/mol of formula units: 373

a = 3.889 Å, b = 3.889 Å, c = 3.889 Å
α = 90.00°, β = 90.00°, γ = 90.00°
Space group Pm-3m (No. 221)
Unique sites:
Li  0.000  0.000  0.000 [1 per cell]
Cu  0.500  0.500  0.500 [1 per cell]
Ni  0.000  0.000  0.500 [3 per cell]

***

Li3Cu3Ni2: optimized geometry, PBE.

Computed properties:
E_tot, eV/atom: -3.729
Crystal system: hexagonal
ρ, kg/m³: 5273
Distance to the lowest polymorph of the same formula, kJ/mol of formula units: 0

a = 6.8953 Å, b = 6.8953 Å, c = 2.5151 Å
α = 90.00°, β = 90.00°, γ = 120.00°
Space group P-62m (No. 189)
Unique sites:
Li  0.0000  0.2593  0.0000 [3 per cell]
Cu  0.0000  0.6052  0.5000 [3 per cell]
Ni  0.3333  0.6667  0.0000 [2 per cell]

***

Li4CuNi4: optimized geometry, PBE.

Computed properties:
E_tot, eV/atom: -3.827
Crystal system: tetragonal
ρ, kg/m³: 5120

a = 7.735 Å, b = 7.735 Å, c = 3.535 Å
α = 90.00°, β = 90.00°, γ = 90.00°
Space group I4/mmm (No. 139)
Unique sites:
Li  0.000  0.317  0.000 [8 per cell]
Cu  0.000  0.000  0.000 [2 per cell]
Ni  0.166  0.166  0.500 [8 per cell]

***

Number 1: energy relative to the elements 1.713 kcal/mol of atoms. Number 2: energy relative to the elements 3.769 kcal/mol of atoms. Number 3: energy relative to the elements 1.995 kcal/mol of atoms. Number 4: energy relative to the elements 1.030 kcal/mol of atoms. Number 5: energy relative to the elements 4.463 kcal/mol of atoms. Number 6: energy relative to the elements 20.522 kcal/mol of atoms. Number 7: energy relative to the elements 18.322 kcal/mol of atoms. Number 8: energy relative to the elements -0.690 kcal/mol of atoms. Number 9: energy relative to the elements 1.104 kcal/mol of atoms.